Crystalline PtAuCl3 at its relaxed geometry. Source: Alexandria via LeMat-Bulk, functional PBE-GGA.

## Properties
relative energy among the computed polymorphs	0.00	eV/f.u.
E	-2.79	eV/atom
energy relative to the elements, uncorrected	0.19	eV per atom
size of the total moment	0.00	μB per formula unit
theoretical density	7.2	g/cm³

Cell lengths 4.865, 4.865, 4.865 Å; angles 90.00, 90.00, 90.00 degrees
Space group Pm-3m (No. 221)
One atom of each set of equivalent atoms:
Pt1 0.000 0.000 0.000 x1
Au1 0.500 0.500 0.500 x1
Cl1 0.000 0.000 0.500 x3